--- a ---
## MgFe3Si (PBE)

Data for MgFe3Si after structural relaxation.

Lattice parameters (Å, degrees): 4.3853 4.3853 4.3853 90.00 90.00 90.00
With the nearest neighbours (Å) after each atom.
Element x y z (fractional)
Mg1 0.0000 0.0000 0.0000  6 Fe 2.19
Fe1 0.0000 0.0000 0.5000  2 Mg 2.19
Fe2 0.0000 0.5000 0.0000  2 Mg 2.19
Fe3 0.5000 0.0000 0.0000  2 Mg 2.19
Si1 0.5000 0.5000 0.5000  12 Fe 3.10

Calculated values
Crystal system: cubic
Symmetry: Pm-3m, No. 221
Spin magnetization: 7.8 μB/cell

--- b ---
## MgFe3Si (PBE)

Data for MgFe3Si after structural relaxation.

Lattice parameters (Å, degrees): 4.2657 4.2657 4.2657 90.00 90.00 90.00
With the nearest neighbours (Å) after each atom.
Element x y z (fractional)
Mg1 0.0000 0.0000 0.0000  12 Fe 3.02
Fe1 0.0000 0.5000 0.5000  2 Si 2.13
Fe2 0.5000 0.0000 0.5000  2 Si 2.13
Fe3 0.5000 0.5000 0.0000  2 Si 2.13
Si1 0.5000 0.5000 0.5000  6 Fe 2.13

Calculated values
Crystal system: cubic
Symmetry: Pm-3m, No. 221
Spin magnetization: 5.2 μB/cell

Name the least stable of them. a.

--- a ---
## MgTa2Fe2 (PBE)

Data for MgTa2Fe2 after structural relaxation.

Lattice parameters (Å, degrees): 7.4166 7.4166 2.8463 90.00 90.00 90.00
With the nearest neighbours (Å) after each atom.
Element x y z (fractional)
Mg1 0.0000 0.0000 0.0000  4 Ta 2.84, 2 Mg 2.85, 8 Fe 3.17
Mg2 0.5000 0.5000 0.0000  4 Ta 2.84, 2 Mg 2.85, 8 Fe 3.17
Ta1 0.1463 0.3537 0.0000  6 Fe 2.59-2.60, 2 Mg 2.84, 2 Ta 2.85
Ta2 0.3537 0.8537 0.0000  6 Fe 2.59-2.60, 2 Mg 2.84, 2 Ta 2.85
Ta3 0.6463 0.1463 0.0000  6 Fe 2.59-2.60, 2 Mg 2.84, 2 Ta 2.85
Ta4 0.8537 0.6463 0.0000  6 Fe 2.59-2.60, 2 Mg 2.84, 2 Ta 2.85
Fe1 0.1475 0.6475 0.5000  6 Ta 2.59-2.60, 2 Fe 2.85
Fe2 0.3525 0.1475 0.5000  6 Ta 2.59-2.60, 2 Fe 2.85
Fe3 0.6475 0.8525 0.5000  6 Ta 2.59-2.60, 2 Fe 2.85
Fe4 0.8525 0.3525 0.5000  6 Ta 2.59-2.60, 2 Fe 2.85

Calculated values
Crystal system: tetragonal
Symmetry: P4/mbm, No. 127
Spin magnetization: 0.0 μB/cell

--- b ---
## MgTa2Fe2 (PBE)

Data for MgTa2Fe2 after structural relaxation.

Lattice parameters (Å, degrees): 6.7094 6.7094 6.7094 147.55 147.55 46.55
With the nearest neighbours (Å) after each atom.
Element x y z (fractional)
Mg1 0.0000 0.0000 0.0000  8 Ta 3.07
Ta1 0.3740 0.3740 0.0000  4 Fe 2.42
Ta2 0.6260 0.6260 0.0000  4 Fe 2.42
Fe1 0.2500 0.7500 0.5000  4 Ta 2.42, 4 Fe 2.65
Fe2 0.7500 0.2500 0.5000  4 Ta 2.42, 4 Fe 2.65

Calculated values
Crystal system: tetragonal
Symmetry: I4/mmm, No. 139
Spin magnetization: 0.0 μB/cell

Name the least stable of them. b.

--- a ---
## MgTaFe (PBE)

Data for MgTaFe after structural relaxation.

Lattice parameters (Å, degrees): 4.2944 4.2944 4.2944 60.00 60.00 60.00
With the nearest neighbours (Å) after each atom.
Element x y z (fractional)
Mg1 0.0000 0.0000 0.0000  4 Ta 2.63
Ta1 0.7500 0.7500 0.7500  4 Fe 2.63, 4 Mg 2.63
Fe1 0.5000 0.5000 0.5000  4 Ta 2.63

Calculated values
Crystal system: cubic
Symmetry: F-43m, No. 216
Spin magnetization: 0.6 μB/cell

--- b ---
## MgTaFe (PBE)

Data for MgTaFe after structural relaxation.

Lattice parameters (Å, degrees): 4.4352 4.4352 2.7584 90.00 90.00 120.00
With the nearest neighbours (Å) after each atom.
Element x y z (fractional)
Mg1 0.0000 0.0000 0.0000  3 Fe 2.69, 2 Mg 2.76, 6 Ta 2.83-2.99
Ta1 0.3333 0.6667 0.4379  3 Fe 2.66, 2 Ta 2.76, 3 Mg 2.83
Fe1 0.6667 0.3333 0.6986  3 Ta 2.66, 3 Mg 2.69, 2 Fe 2.76

Calculated values
Crystal system: trigonal
Symmetry: P3m1, No. 156
Spin magnetization: 1.1 μB/cell

Name the least stable of them. a.

--- a ---
## MgTaFe (PBE)

Data for MgTaFe after structural relaxation.

Lattice parameters (Å, degrees): 4.1958 4.1958 4.1958 60.00 60.00 60.00
With the nearest neighbours (Å) after each atom.
Element x y z (fractional)
Mg1 0.0000 0.0000 0.0000  4 Fe 2.57
Ta1 0.5000 0.5000 0.5000  4 Fe 2.57
Fe1 0.7500 0.7500 0.7500  4 Ta 2.57, 4 Mg 2.57

Calculated values
Crystal system: cubic
Symmetry: F-43m, No. 216
Spin magnetization: 0.0 μB/cell

--- b ---
## MgTaFe (PBE)

Data for MgTaFe after structural relaxation.

Lattice parameters (Å, degrees): 6.9773 6.8171 2.7938 81.55 75.11 23.33
With the nearest neighbours (Å) after each atom.
Element x y z (fractional)
Mg1 0.0000 0.0000 0.0000  2 Fe 2.71, 4 Mg 2.79
Ta1 0.6929 0.6929 0.3071  2 Fe 2.55, 4 Ta 2.79
Fe1 0.3387 0.3387 0.6613  2 Ta 2.55, 2 Mg 2.71, 4 Fe 2.79

Calculated values
Crystal system: orthorhombic
Symmetry: Fmm2, No. 42
Spin magnetization: 2.0 μB/cell

Name the least stable of them. a.

--- a ---
## Tb3MgFe (PBE)

Data for Tb3MgFe after structural relaxation.

Lattice parameters (Å, degrees): 7.7227 4.9053 13.5689 90.00 90.00 90.00
With the nearest neighbours (Å) after each atom.
Element x y z (fractional)
Tb1 0.0809 0.2500 0.2343  2 Fe 2.62-2.76
Tb2 0.0921 0.7500 0.4306  1 Fe 2.52
Tb3 0.1455 0.7500 0.0411  2 Fe 3.06, 1 Mg 3.17
Tb4 0.3545 0.2500 0.5411  2 Fe 3.06, 1 Mg 3.17
Tb5 0.4079 0.2500 0.9306  1 Fe 2.52
Tb6 0.4191 0.7500 0.7343  2 Fe 2.62-2.76
Tb7 0.5809 0.2500 0.2657  2 Fe 2.62-2.76
Tb8 0.5921 0.7500 0.0694  1 Fe 2.52
Tb9 0.6455 0.7500 0.4589  2 Fe 3.06, 1 Mg 3.17
Tb10 0.8545 0.2500 0.9589  2 Fe 3.06, 1 Mg 3.17
Tb11 0.9079 0.2500 0.5694  1 Fe 2.52
Tb12 0.9191 0.7500 0.7657  2 Fe 2.62-2.76
Mg1 0.1576 0.2500 0.7463  2 Fe 3.05, 7 Tb 3.08-3.18
Mg2 0.3424 0.7500 0.2463  2 Fe 3.05, 7 Tb 3.08-3.18
Mg3 0.6576 0.2500 0.7537  2 Fe 3.05, 7 Tb 3.08-3.18
Mg4 0.8424 0.7500 0.2537  2 Fe 3.05, 7 Tb 3.08-3.18
Fe1 0.1547 0.7500 0.6129  3 Tb 2.52-2.76
Fe2 0.3453 0.2500 0.1129  3 Tb 2.52-2.76
Fe3 0.6547 0.7500 0.8871  3 Tb 2.52-2.76
Fe4 0.8453 0.2500 0.3871  3 Tb 2.52-2.76

Calculated values
Crystal system: orthorhombic
Symmetry: Pnma, No. 62
Spin magnetization: 0.8 μB/cell

--- b ---
## Tb3MgFe (PBE)

Data for Tb3MgFe after structural relaxation.

Lattice parameters (Å, degrees): 5.2062 5.2062 5.2062 90.00 90.00 90.00
With the nearest neighbours (Å) after each atom.
Element x y z (fractional)
Tb1 0.0000 0.0000 0.5000  2 Fe 2.60
Tb2 0.0000 0.5000 0.0000  2 Fe 2.60
Tb3 0.5000 0.0000 0.0000  2 Fe 2.60
Mg1 0.5000 0.5000 0.5000  12 Tb 3.68
Fe1 0.0000 0.0000 0.0000  6 Tb 2.60

Calculated values
Crystal system: cubic
Symmetry: Pm-3m, No. 221
Spin magnetization: 0.0 μB/cell

Name the least stable of them. a.